Computed, not measured: an optimized crystal structure of Mg2TcMoN4 at the PBE level of DFT.

V = 207.4 Å³ per cell
Magnetic moment = 0.06 μB per atom
Mass density = 4.780 g/cm3
Space-group type = I-42m, No. 121
Formation energy from raw total energies = -354 meV/atom

abc: 4.706 4.706 9.367
angles: 90.00 90.00 90.00
Positions (direct):
Mg 0.000 0.500 0.250
Mg 0.000 0.500 0.750
Mg 0.500 0.000 0.250
Mg 0.500 0.000 0.750
Tc 0.000 0.000 0.000
Tc 0.500 0.500 0.500
Mo 0.000 0.000 0.500
Mo 0.500 0.500 0.000
N 0.248 0.248 0.611
N 0.248 0.752 0.389
N 0.252 0.252 0.111
N 0.252 0.748 0.889
N 0.748 0.252 0.889
N 0.748 0.748 0.111
N 0.752 0.248 0.389
N 0.752 0.752 0.611